Here is a relaxed ScRu2Au crystal from Alexandria. Energies are from GGA-PBE.

Output
The calculation puts the total energy at -28.3 eV for the cell shown. For the density of states at the Fermi level, the calculation gives 1.52 states/eV per atom. The calculation puts the energy above the most stable polymorph in this dataset at 0.158 eV/atom. The energy of formation is -0.0392 eV per atom.

The structure in POSCAR format:
```
ScRu2Au
1.0
4.627 -1.475 0.000
4.627 1.475 0.000
-0.990 0.000 4.769
Sc Ru Au
1 2 1
direct
0.000 0.000 0.000 Sc
0.252 0.252 0.763 Ru
0.748 0.748 0.237 Ru
0.500 0.500 0.500 Au
```


Here is a relaxed Sc2RuAu crystal from Alexandria. Energies are from GGA-PBE.

Output
The calculation puts the total energy at -27.0 eV for the cell shown. For the density of states at the Fermi level, the calculation gives 0.70 states/eV per atom. The energy of formation is -0.4373 eV per atom.

The structure in POSCAR format:
```
Sc2RuAu
1.0
3.282 0.000 0.000
0.000 4.106 0.000
0.000 0.000 5.649
Sc Ru Au
2 1 1
direct
0.000 0.000 0.000 Sc
0.500 0.500 0.341 Sc
0.500 0.500 0.870 Ru
0.000 0.000 0.520 Au
```


Here is a relaxed ScRu2Au crystal from Alexandria. Energies are from GGA-PBE.

Output
The calculation puts the total energy at -29.0 eV for the cell shown. For the density of states at the Fermi level, the calculation gives 0.96 states/eV per atom. The calculation puts the energy above the most stable polymorph in this dataset at 0.000 eV/atom. The energy of formation is -0.1974 eV per atom.

The structure in POSCAR format:
```
ScRu2Au
1.0
3.995 0.000 0.000
0.000 3.995 0.000
0.000 0.000 3.995
Sc Ru Au
1 2 1
direct
0.000 0.000 0.000 Sc
0.000 0.500 0.500 Ru
0.500 0.000 0.500 Ru
0.500 0.500 0.000 Au
```


Here is a relaxed Sc2RuAu crystal from Alexandria. Energies are from GGA-PBE.

Output
The calculation puts the total energy at -27.2 eV for the cell shown. For the density of states at the Fermi level, the calculation gives 0.63 states/eV per atom. The energy of formation is -0.4935 eV per atom.

The structure in POSCAR format:
```
Sc2RuAu
1.0
-1.979 1.979 4.617
1.979 -1.979 4.617
1.979 1.979 -4.617
Sc Ru Au
2 1 1
direct
0.000 0.000 0.000 Sc
0.750 0.250 0.500 Sc
0.500 0.500 0.000 Ru
0.250 0.750 0.500 Au
```


What did the third record say?
Here is a relaxed ScRu2Au crystal from Alexandria. Energies are from GGA-PBE.

Output
The calculation puts the total energy at -29.0 eV for the cell shown. For the density of states at the Fermi level, the calculation gives 0.96 states/eV per atom. The calculation puts the energy above the most stable polymorph in this dataset at 0.000 eV/atom. The energy of formation is -0.1974 eV per atom.

The structure in POSCAR format:
```
ScRu2Au
1.0
3.995 0.000 0.000
0.000 3.995 0.000
0.000 0.000 3.995
Sc Ru Au
1 2 1
direct
0.000 0.000 0.000 Sc
0.000 0.500 0.500 Ru
0.500 0.000 0.500 Ru
0.500 0.500 0.000 Au
```


Question: Which formula does entry 3 have?
Answer: ScRu2Au